1.
Computed, not measured: a relaxed LiMg2Cr crystal at the PBE level of DFT.

As for the electronic total energy: -3.3793 eV per atom. As for the density: 2.31 g cm⁻³.

The space group is P4mm (No. 99) and the conventional cell measures 3.310, 3.310 and 7.056 Å, with angles of 90.00, 90.00 and 90.00 degrees. The inequivalent atoms are Li at (0.000, 0.000, 0.000), Mg at (0.000, 0.000, 0.540), Mg at (0.500, 0.500, 0.244) and Cr at (0.500, 0.500, 0.787).


2.
Computed, not measured: a relaxed MgTaCl4 crystal at the PBE level of DFT.

As for the density: 4.23 g cm⁻³. Its formation energy without anion corrections is 5.02 eV per formula unit.

The space group is F-43m (No. 216) and the conventional cell measures 8.166, 8.166 and 8.166 Å, with angles of 90.00, 90.00 and 90.00 degrees. The inequivalent atoms are Mg at (0.000, 0.000, 0.000), Ta at (0.250, 0.250, 0.750) and Cl at (0.125, 0.125, 0.375).


3.
Computed, not measured: a relaxed SmEr3H crystal at the PBE level of DFT.

As for the electronic total energy: -4.5121 eV per atom. As for the density: 8.84 g cm⁻³.

The space group is Pm-3m (No. 221) and the conventional cell measures 4.968, 4.968 and 4.968 Å, with angles of 90.00, 90.00 and 90.00 degrees. The inequivalent atoms are Sm at (0.000, 0.000, 0.000), Er at (0.000, 0.500, 0.500) and H at (0.500, 0.500, 0.500).


Repeat the first record exactly.
Computed, not measured: a relaxed LiMg2Cr crystal at the PBE level of DFT.

As for the electronic total energy: -3.3793 eV per atom. As for the density: 2.31 g cm⁻³.

The space group is P4mm (No. 99) and the conventional cell measures 3.310, 3.310 and 7.056 Å, with angles of 90.00, 90.00 and 90.00 degrees. The inequivalent atoms are Li at (0.000, 0.000, 0.000), Mg at (0.000, 0.000, 0.540), Mg at (0.500, 0.500, 0.244) and Cr at (0.500, 0.500, 0.787).